A plane-wave DFT calculation with GGA+U was carried out for crystalline KTaCoO4 at its relaxed geometry.

Properties
Space-group type ... No. 11
Total DFT energy (no corrections) ... -7.450 eV per atom

Unit cell a=5.7584 b=5.6449 c=6.8460 alpha=90.00 beta=103.97 gamma=90.00
Element x y z (fractional)
K  0.1702  0.2500  0.0775
K  0.8298  0.7500  0.9225
Ta  0.1539  0.7500  0.4777
Ta  0.8461  0.2500  0.5223
Co  0.4096  0.2500  0.6616
Co  0.5904  0.7500  0.3384
O  0.1382  0.0218  0.6646
O  0.1382  0.4782  0.6646
O  0.2428  0.7500  0.2219
O  0.4920  0.7500  0.5955
O  0.5080  0.2500  0.4045
O  0.7572  0.2500  0.7781
O  0.8618  0.5218  0.3354
O  0.8618  0.9782  0.3354